(1)
Here is K2Tl2BiO6 after structural relaxation from Alexandria. Energies are from PBE.

The structure belongs to space group C2/m (No. 12); the cell edges are 6.0651, 10.3581 and 6.7269 Å and the angles 90.00°, 108.43° and 90.00°. The asymmetric unit holds K at (0.0000, 0.1719, 0.0000), Tl at (0.0000, 0.3348, 0.5000), Bi at (0.0000, 0.0000, 0.5000), O at (0.2202, 0.1647, 0.6847) and O at (0.2439, 0.5000, 0.6820).

For the uncorrected formation energy, the calculation gives -1.041 eV per atom.


(2)
Here is LaPm12Nd6 after structural relaxation from Alexandria. Energies are from PBE.

The structure belongs to space group R-3 (No. 148, hexagonal axes); the cell edges are 12.3056, 12.3056 and 15.3858 Å and the angles 90.00°, 90.00° and 120.00°. The asymmetric unit holds La at (0.0000, 0.0000, 0.0000), Pm at (0.0069, 0.1749, 0.1913), Pm at (0.0463, 0.1942, 0.4167) and Nd at (0.0112, 0.5891, 0.6833).

The value obtained for the formation energy is 2.47 eV per formula unit.


| no. | E (eV per atom) |
| --- | --- |
| 1 | -4.728 |
| 2 | -4.635 |